(w)
# GGA-PBEsol Y2ZrSc, optimized geometry
data_Y2ZrSc
_symmetry_space_group_name_H-M 'C m m m'
_symmetry_Int_Tables_number 65
_symmetry_space_group_name_Hall '-C 2 2'
_cell_length_a 6.657
_cell_length_b 9.416
_cell_length_c 3.322
_cell_angle_alpha 90.00
_cell_angle_beta 90.00
_cell_angle_gamma 90.00
loop_
_atom_site_label
_atom_site_type_symbol
_atom_site_fract_x
_atom_site_fract_y
_atom_site_fract_z
_atom_site_occupancy
Y1 Y 0.250 0.250 0.000 1
Zr1 Zr 0.000 0.000 0.500 1
Sc1 Sc 0.000 0.500 0.500 1
# Total magnetization in μB/f.u.: 0.0

***

(x)
# GGA-PBEsol Y2ZrSc, optimized geometry
data_Y2ZrSc
_symmetry_space_group_name_H-M 'A m m 2'
_symmetry_Int_Tables_number 38
_symmetry_space_group_name_Hall 'A 2 -2'
_cell_length_a 5.134
_cell_length_b 3.330
_cell_length_c 12.393
_cell_angle_alpha 90.00
_cell_angle_beta 90.00
_cell_angle_gamma 90.00
loop_
_atom_site_label
_atom_site_type_symbol
_atom_site_fract_x
_atom_site_fract_y
_atom_site_fract_z
_atom_site_occupancy
Y1 Y 0.000 0.000 0.000 1
Y2 Y 0.500 0.000 0.341 1
Zr1 Zr 0.000 0.000 0.731 1
Sc1 Sc 0.500 0.000 0.613 1
# Total magnetization in μB/f.u.: 0.0

***

Which is more stable than every other structure shown? (x) is more stable than every other one.